# 1
{
  "formula": "TcIrCl2",
  "functional": "PBE-GGA",
  "state": "relaxed",
  "lattice": [[3.116, 0.000, 0.000], [0.000, 2.972, 0.006], [0.000, 0.016, 8.821]],
  "species": ["Cl", "Cl", "Ir", "Tc"],
  "frac_coords": [[0.500, 0.378, 0.329], [0.000, 0.872, 0.919], [0.000, 0.376, 0.543], [0.500, 0.874, 0.709]],
  "e_tot_ha_per_atom": -0.2131,
  "raw_formation_energy_ev_per_atom": -0.07,
  "de_polymorph_ev_per_fu": 0.000,
  "crystal_system": "monoclinic",
  "spacegroup": "Pm"
}


# 2
{
  "formula": "Tc2IrCl",
  "functional": "PBE-GGA",
  "state": "relaxed",
  "lattice": [[3.994, 0.000, 0.000], [0.000, 2.829, -0.009], [0.000, 1.406, 5.300]],
  "species": ["Tc", "Tc", "Cl", "Ir"],
  "frac_coords": [[0.500, 0.346, 0.251], [0.000, 0.945, 0.027], [0.000, 0.634, 0.459], [0.500, 0.575, 0.763]],
  "e_tot_ha_per_atom": -0.2708,
  "raw_formation_energy_ev_per_atom": 0.49,
  "de_polymorph_ev_per_fu": 0.953,
  "crystal_system": "monoclinic",
  "spacegroup": "Pm"
}


# 3
{
  "formula": "TcIrCl2",
  "functional": "PBE-GGA",
  "state": "relaxed",
  "lattice": [[7.571, -1.004, 3.623], [8.266, -1.585, 0.788], [8.178, 1.229, 1.752]],
  "species": ["Tc", "Ir", "Cl", "Cl"],
  "frac_coords": [[0.500, 0.500, 0.500], [0.000, 0.000, 0.000], [0.093, 0.093, 0.093], [0.907, 0.907, 0.907]],
  "e_tot_ha_per_atom": -0.1915,
  "raw_formation_energy_ev_per_atom": 0.52,
  "de_polymorph_ev_per_fu": 2.357,
  "crystal_system": "trigonal",
  "spacegroup": "R-3m"
}


# 4
{
  "formula": "Tc2IrCl",
  "functional": "PBE-GGA",
  "state": "relaxed",
  "lattice": [[4.403, 0.000, 0.000], [2.202, 3.813, 0.000], [2.202, 1.271, 3.595]],
  "species": ["Cl", "Tc", "Tc", "Ir"],
  "frac_coords": [[0.500, 0.500, 0.500], [0.250, 0.250, 0.250], [0.000, 0.000, 0.000], [0.750, 0.750, 0.750]],
  "e_tot_ha_per_atom": -0.2550,
  "raw_formation_energy_ev_per_atom": 0.92,
  "de_polymorph_ev_per_fu": 2.672,
  "crystal_system": "cubic",
  "spacegroup": "F-43m"
}


# 5
{
  "formula": "TcIr2Cl",
  "functional": "PBE-GGA",
  "state": "relaxed",
  "lattice": [[4.131, 0.000, 0.000], [0.000, 2.808, -0.001], [0.000, 1.537, 5.128]],
  "species": ["Cl", "Ir", "Ir", "Tc"],
  "frac_coords": [[0.500, 0.750, 0.750], [0.000, 0.870, 0.000], [0.000, 0.630, 0.500], [0.500, 0.250, 0.250]],
  "e_tot_ha_per_atom": -0.2534,
  "raw_formation_energy_ev_per_atom": 0.59,
  "de_polymorph_ev_per_fu": 1.119,
  "crystal_system": "monoclinic",
  "spacegroup": "P2/m"
}


# 6
{
  "formula": "TcIrCl2",
  "functional": "PBE-GGA",
  "state": "relaxed",
  "lattice": [[-5.008, 6.386, -5.096], [-6.924, 5.990, -2.829], [-4.681, 7.957, -2.568]],
  "species": ["Tc", "Cl", "Cl", "Ir"],
  "frac_coords": [[0.755, 0.755, 0.755], [0.229, 0.229, 0.229], [0.024, 0.024, 0.024], [0.492, 0.492, 0.492]],
  "e_tot_ha_per_atom": -0.2062,
  "raw_formation_energy_ev_per_atom": 0.12,
  "de_polymorph_ev_per_fu": 0.751,
  "crystal_system": "trigonal",
  "spacegroup": "R3m"
}


# 7
{
  "formula": "Tc2IrCl",
  "functional": "PBE-GGA",
  "state": "relaxed",
  "lattice": [[5.252, 0.010, -0.003], [2.534, 4.600, 0.003], [-3.311, -3.289, 2.409]],
  "species": ["Tc", "Tc", "Ir", "Cl"],
  "frac_coords": [[0.729, 0.229, 0.500], [0.997, 0.997, 0.000], [0.264, 0.764, 0.500], [0.510, 0.510, 0.000]],
  "e_tot_ha_per_atom": -0.2661,
  "raw_formation_energy_ev_per_atom": 0.62,
  "de_polymorph_ev_per_fu": 1.457,
  "crystal_system": "orthorhombic",
  "spacegroup": "Imm2"
}


# 8
{
  "formula": "TcIrCl2",
  "functional": "PBE-GGA",
  "state": "relaxed",
  "lattice": [[2.865, 0.000, 0.000], [0.000, 5.324, 0.000], [0.000, 0.000, 4.240]],
  "species": ["Cl", "Cl", "Tc", "Ir"],
  "frac_coords": [[0.500, 0.500, 0.000], [0.000, 0.000, 0.000], [0.000, 0.500, 0.500], [0.500, 0.000, 0.500]],
  "e_tot_ha_per_atom": -0.1827,
  "raw_formation_energy_ev_per_atom": 0.76,
  "de_polymorph_ev_per_fu": 3.310,
  "crystal_system": "orthorhombic",
  "spacegroup": "Pmmm"
}


# 9
{
  "formula": "TcIrCl2",
  "functional": "PBE-GGA",
  "state": "relaxed",
  "lattice": [[4.527, -0.006, 0.000], [0.005, 4.527, 0.000], [-2.266, -2.260, 3.202]],
  "species": ["Tc", "Cl", "Cl", "Ir"],
  "frac_coords": [[0.750, 0.250, 0.500], [0.250, 0.750, 0.500], [0.000, 0.000, 0.000], [0.500, 0.500, 0.000]],
  "e_tot_ha_per_atom": -0.1770,
  "raw_formation_energy_ev_per_atom": 0.91,
  "de_polymorph_ev_per_fu": 3.939,
  "crystal_system": "cubic",
  "spacegroup": "F-43m"
}


# 10
{
  "formula": "TcIr2Cl",
  "functional": "PBE-GGA",
  "state": "relaxed",
  "lattice": [[-5.230, 2.788, 1.657], [-1.660, 0.401, -5.912], [-5.420, -2.285, -1.836]],
  "species": ["Tc", "Tc", "Cl", "Cl", "Ir", "Ir", "Ir", "Ir"],
  "frac_coords": [[0.750, 0.250, 0.500], [0.000, 0.000, 0.000], [0.500, 0.500, 0.000], [0.250, 0.750, 0.500], [0.107, 0.625, 0.250], [0.375, 0.357, 0.750], [0.643, 0.125, 0.250], [0.875, 0.893, 0.750]],
  "e_tot_ha_per_atom": -0.2404,
  "raw_formation_energy_ev_per_atom": 0.94,
  "de_polymorph_ev_per_fu": 2.531,
  "crystal_system": "tetragonal",
  "spacegroup": "I-42d"
}


# 11
{
  "formula": "TcIr2Cl",
  "functional": "PBE-GGA",
  "state": "relaxed",
  "lattice": [[-2.893, 2.311, -2.910], [-2.779, -0.566, 2.314], [0.786, 3.138, 1.711]],
  "species": ["Ir", "Ir", "Cl", "Tc"],
  "frac_coords": [[0.000, 0.500, 0.500], [0.000, 0.000, 0.000], [0.500, 0.000, 0.500], [0.500, 0.500, 0.000]],
  "e_tot_ha_per_atom": -0.2310,
  "raw_formation_energy_ev_per_atom": 1.20,
  "de_polymorph_ev_per_fu": 3.562,
  "crystal_system": "tetragonal",
  "spacegroup": "P4/mmm"
}


# 12
{
  "formula": "Tc2IrCl",
  "functional": "PBE-GGA",
  "state": "relaxed",
  "lattice": [[2.806, 0.000, 0.000], [0.000, 3.833, 0.000], [0.000, 0.000, 6.100]],
  "species": ["Tc", "Tc", "Ir", "Cl"],
  "frac_coords": [[0.000, 0.000, 0.033], [0.500, 0.500, 0.231], [0.500, 0.500, 0.811], [0.000, 0.000, 0.425]],
  "e_tot_ha_per_atom": -0.2686,
  "raw_formation_energy_ev_per_atom": 0.55,
  "de_polymorph_ev_per_fu": 1.189,
  "crystal_system": "orthorhombic",
  "spacegroup": "Pmm2"
}


# 13
{
  "formula": "Tc2IrCl",
  "functional": "PBE-GGA",
  "state": "relaxed",
  "lattice": [[-2.368, 1.003, 4.534], [-5.091, -1.066, 0.347], [4.853, -1.751, -0.747]],
  "species": ["Ir", "Tc", "Tc", "Cl"],
  "frac_coords": [[0.250, 0.750, 0.500], [0.520, 0.520, 0.000], [0.980, 0.980, 0.000], [0.750, 0.250, 0.500]],
  "e_tot_ha_per_atom": -0.2610,
  "raw_formation_energy_ev_per_atom": 0.76,
  "de_polymorph_ev_per_fu": 2.019,
  "crystal_system": "orthorhombic",
  "spacegroup": "Immm"
}


# 14
{
  "formula": "TcIrCl2",
  "functional": "PBE-GGA",
  "state": "relaxed",
  "lattice": [[4.148, 0.000, 0.000], [0.000, 4.148, 0.000], [2.074, 2.074, 7.709]],
  "species": ["Cl", "Cl", "Cl", "Cl", "Ir", "Ir", "Tc", "Tc"],
  "frac_coords": [[0.875, 0.868, 0.750], [0.132, 0.625, 0.250], [0.375, 0.382, 0.750], [0.618, 0.125, 0.250], [0.000, 0.000, 0.000], [0.750, 0.250, 0.500], [0.250, 0.750, 0.500], [0.500, 0.500, 0.000]],
  "e_tot_ha_per_atom": -0.1815,
  "raw_formation_energy_ev_per_atom": 0.79,
  "de_polymorph_ev_per_fu": 3.445,
  "crystal_system": "tetragonal",
  "spacegroup": "I-42d"
}


# 15
{
  "formula": "TcIrCl",
  "functional": "PBE-GGA",
  "state": "relaxed",
  "lattice": [[-1.092, -1.611, 2.117], [-0.906, -0.373, -2.704], [4.665, -4.414, -0.953]],
  "species": ["Ir", "Tc", "Cl"],
  "frac_coords": [[0.667, 0.333, 0.361], [0.333, 0.667, 0.672], [0.000, 0.000, 0.968]],
  "e_tot_ha_per_atom": -0.2488,
  "raw_formation_energy_ev_per_atom": 0.25,
  "de_polymorph_ev_per_fu": 0.000,
  "crystal_system": "trigonal",
  "spacegroup": "P3m1"
}


# 16
{
  "formula": "Tc2IrCl",
  "functional": "PBE-GGA",
  "state": "relaxed",
  "lattice": [[3.690, 0.000, 0.000], [0.000, 2.808, -0.004], [0.000, 0.010, 6.353]],
  "species": ["Tc", "Tc", "Ir", "Cl"],
  "frac_coords": [[0.000, 0.250, 0.953], [0.000, 0.250, 0.547], [0.500, 0.750, 0.750], [0.500, 0.250, 0.250]],
  "e_tot_ha_per_atom": -0.2761,
  "raw_formation_energy_ev_per_atom": 0.35,
  "de_polymorph_ev_per_fu": 0.372,
  "crystal_system": "orthorhombic",
  "spacegroup": "Pmmm"
}


# 17
{
  "formula": "TcIrCl",
  "functional": "PBE-GGA",
  "state": "relaxed",
  "lattice": [[6.719, 0.043, 0.000], [5.475, 3.895, 0.000], [-6.097, -1.969, 2.024]],
  "species": ["Tc", "Cl", "Ir"],
  "frac_coords": [[0.668, 0.668, 0.000], [0.037, 0.037, 0.000], [0.295, 0.295, 0.000]],
  "e_tot_ha_per_atom": -0.2461,
  "raw_formation_energy_ev_per_atom": 0.33,
  "de_polymorph_ev_per_fu": 0.221,
  "crystal_system": "tetragonal",
  "spacegroup": "I4mm"
}


# 18
{
  "formula": "TcIr2Cl",
  "functional": "PBE-GGA",
  "state": "relaxed",
  "lattice": [[-1.124, -0.025, -2.575], [2.190, -2.641, -0.930], [-4.581, -4.519, 2.044]],
  "species": ["Ir", "Ir", "Tc", "Cl"],
  "frac_coords": [[0.000, 0.000, 0.050], [0.000, 0.000, 0.450], [0.500, 0.500, 0.250], [0.500, 0.500, 0.750]],
  "e_tot_ha_per_atom": -0.2529,
  "raw_formation_energy_ev_per_atom": 0.60,
  "de_polymorph_ev_per_fu": 1.174,
  "crystal_system": "orthorhombic",
  "spacegroup": "Pmmm"
}


# 19
{
  "formula": "TcIrCl",
  "functional": "PBE-GGA",
  "state": "relaxed",
  "lattice": [[-1.321, -0.421, -7.422], [0.512, -2.535, -6.784], [-2.808, -0.502, -0.315]],
  "species": ["Tc", "Ir", "Cl"],
  "frac_coords": [[0.663, 0.663, 0.337], [0.315, 0.315, 0.685], [0.022, 0.022, 0.978]],
  "e_tot_ha_per_atom": -0.2391,
  "raw_formation_energy_ev_per_atom": 0.52,
  "de_polymorph_ev_per_fu": 0.789,
  "crystal_system": "orthorhombic",
  "spacegroup": "Fmm2"
}


# 20
{
  "formula": "TcIrCl",
  "functional": "PBE-GGA",
  "state": "relaxed",
  "lattice": [[4.181, 0.000, 0.000], [-2.091, 3.621, 0.000], [0.000, 0.000, 2.944]],
  "species": ["Cl", "Tc", "Ir"],
  "frac_coords": [[0.000, 0.000, 0.948], [0.667, 0.333, 0.753], [0.333, 0.667, 0.298]],
  "e_tot_ha_per_atom": -0.2304,
  "raw_formation_energy_ev_per_atom": 0.76,
  "de_polymorph_ev_per_fu": 1.504,
  "crystal_system": "trigonal",
  "spacegroup": "P3m1"
}